1.
Compound: TaAsW3
Source: Alexandria
Functional: PBE
Structure: relaxed

Results
**Space group**: Pm-3m, No. 221
**Calculated formation energy**: 1.41 eV per atom
**ρ**: 14.07 g cm⁻³
**Magnetic moment**: 0.000 μB per atom
**Polymorph energy (0 for the lowest one)**: 0.0 meV/atom
**Raw total energy**: -48.30 eV per formula unit

a = 4.5675 Å, b = 4.5675 Å, c = 4.5675 Å
α = 90.00°, β = 90.00°, γ = 90.00°
Fractional positions:
W (0.0000, 0.0000, 0.5000)
W (0.5000, 0.0000, 0.0000)
As (0.0000, 0.0000, 0.0000)
Ta (0.5000, 0.5000, 0.5000)
W (0.0000, 0.5000, 0.0000)

2.
Compound: TaAsW2
Source: Alexandria
Functional: PBE
Structure: relaxed

Results
**Space group**: F-43m, No. 216
**Calculated formation energy**: 0.39 eV per atom
**ρ**: 15.70 g cm⁻³
**Magnetic moment**: 0.000 μB per atom
**Raw total energy**: -40.85 eV per formula unit

a = 4.5351 Å, b = 4.5351 Å, c = 4.5351 Å
α = 60.00°, β = 60.00°, γ = 60.00°
Fractional positions:
As (0.5000, 0.5000, 0.5000)
W (0.0000, 0.0000, 0.0000)
W (0.2500, 0.2500, 0.2500)
Ta (0.7500, 0.7500, 0.7500)

3.
Compound: Ta2AsW
Source: Alexandria
Functional: PBE
Structure: relaxed

Results
**Space group**: Pmmm, No. 47
**Calculated formation energy**: 0.10 eV per atom
**ρ**: 15.30 g cm⁻³
**Magnetic moment**: 0.000 μB per atom
**Raw total energy**: -40.89 eV per formula unit

a = 3.4209 Å, b = 4.5076 Å, c = 4.3675 Å
α = 90.00°, β = 90.00°, γ = 90.00°
Fractional positions:
W (0.5000, 0.0000, 0.5000)
Ta (0.0000, 0.0000, 0.0000)
Ta (0.5000, 0.5000, 0.0000)
As (0.0000, 0.5000, 0.5000)